No. 1
The following is a DFT calculation (PBE) of a relaxed structure of CaTbNdSc.

Cell lengths 5.670, 5.670, 5.670 Å; angles 60.00, 60.00, 60.00 degrees
Fractional coordinates of all 4 atoms:
Ca 0.000 0.000 0.000
Tb 0.250 0.250 0.250
Nd 0.750 0.750 0.750
Sc 0.500 0.500 0.500

Calculated values
Total magnetic moment in μB per cell: 0.000
Energy of formation in eV per formula unit: 0.6
Calculated volume in Å³ per cell: 128.9



No. 2
The following is a DFT calculation (PBE) of a relaxed structure of SrAuSe2.

Cell lengths 5.477, 5.477, 5.477 Å; angles 134.97, 113.57, 83.89 degrees
Fractional coordinates of all 4 atoms:
Sr 0.000 0.000 0.000
Au 0.500 0.500 0.000
Se 0.301 0.801 0.500
Se 0.699 0.199 0.500

Calculated values
E above lowest polymorph in meV per atom: 145
Total magnetic moment in μB per cell: 0.000
Calculated volume in Å³ per cell: 102.5



No. 3
The following is a DFT calculation (PBE) of a relaxed structure of Sc2InTe2.

Cell lengths 8.044, 8.044, 3.864 Å; angles 90.00, 90.00, 90.00 degrees
Fractional coordinates of all 10 atoms:
Sc 0.148 0.352 0.000
Sc 0.352 0.852 0.000
Sc 0.648 0.148 0.000
Sc 0.852 0.648 0.000
In 0.000 0.000 0.000
In 0.500 0.500 0.000
Te 0.151 0.651 0.500
Te 0.349 0.151 0.500
Te 0.651 0.849 0.500
Te 0.849 0.349 0.500

Calculated values
E above lowest polymorph in meV per atom: 0
Total magnetic moment in μB per cell: 0.000
Calculated volume in Å³ per cell: 250.0



No. 4
The following is a DFT calculation (PBE) of a relaxed structure of PmPrDyTm2.

Cell lengths 8.914, 8.914, 6.403 Å; angles 90.00, 90.00, 137.86 degrees
Fractional coordinates of all 10 atoms:
Pm 0.156 0.844 0.750
Pm 0.844 0.156 0.250
Pr 0.342 0.658 0.750
Pr 0.658 0.342 0.250
Dy 0.268 0.732 0.250
Dy 0.732 0.268 0.750
Tm 0.253 0.253 0.000
Tm 0.253 0.253 0.500
Tm 0.747 0.747 0.000
Tm 0.747 0.747 0.500

Calculated values
Total magnetic moment in μB per cell: 0.000
Energy of formation in eV per formula unit: 1.7
Calculated volume in Å³ per cell: 341.4



No. 5
The following is a DFT calculation (PBE) of a relaxed structure of DyEr2Ga9.

Cell lengths 4.257, 4.257, 12.761 Å; angles 90.00, 90.00, 90.00 degrees
Fractional coordinates of all 12 atoms:
Dy 0.000 0.000 0.000
Er 0.000 0.000 0.334
Er 0.000 0.000 0.666
Ga 0.000 0.500 0.168
Ga 0.000 0.500 0.500
Ga 0.000 0.500 0.832
Ga 0.500 0.000 0.168
Ga 0.500 0.000 0.500
Ga 0.500 0.000 0.832
Ga 0.500 0.500 0.000
Ga 0.500 0.500 0.333
Ga 0.500 0.500 0.667

Calculated values
Total magnetic moment in μB per cell: 0.000
Energy of formation in eV per formula unit: -6.4
Calculated volume in Å³ per cell: 231.2



No. 6
The following is a DFT calculation (PBE) of a relaxed structure of CrCu2Te.

Cell lengths 5.467, 5.467, 3.859 Å; angles 110.48, 110.48, 120.19 degrees
Fractional coordinates of all 4 atoms:
Cr 0.000 0.000 0.000
Cu 0.000 0.500 0.000
Cu 0.500 0.000 0.000
Te 0.500 0.500 0.000

Calculated values
Total magnetic moment in μB per cell: 3.933
Raw total energy in eV/atom: -4.836
Calculated volume in Å³ per cell: 71.0



No. 7
The following is a DFT calculation (PBE) of a relaxed structure of MoSeI.

Cell lengths 7.029, 7.029, 10.040 Å; angles 125.39, 125.39, 28.82 degrees
Fractional coordinates of all 6 atoms:
Mo 0.222 0.222 0.077
Mo 0.778 0.778 0.923
Se 0.425 0.425 0.129
Se 0.575 0.575 0.871
I 0.203 0.203 0.655
I 0.797 0.797 0.345

Calculated values
Total magnetic moment in μB per cell: 0.456
Raw total energy in eV/atom: -5.569
Calculated volume in Å³ per cell: 191.7



No. 8
The following is a DFT calculation (PBE) of a relaxed structure of La2PuHg.

Cell lengths 5.551, 5.551, 5.551 Å; angles 60.00, 60.00, 60.00 degrees
Fractional coordinates of all 4 atoms:
La 0.250 0.250 0.250
La 0.750 0.750 0.750
Pu 0.000 0.000 0.000
Hg 0.500 0.500 0.500

Calculated values
E above lowest polymorph in meV per atom: 127
Total magnetic moment in μB per cell: 6.502
Energy of formation in eV per formula unit: -0.1
Calculated volume in Å³ per cell: 121.0



No. 9
The following is a DFT calculation (PBE) of a relaxed structure of NdGa4Rh4.

Cell lengths 8.208, 8.208, 4.896 Å; angles 90.00, 90.00, 90.00 degrees
Fractional coordinates of all 18 atoms:
Nd 0.250 0.250 0.250
Nd 0.750 0.750 0.750
Ga 0.056 0.896 0.172
Ga 0.104 0.556 0.672
Ga 0.396 0.944 0.672
Ga 0.444 0.604 0.172
Ga 0.556 0.396 0.828
Ga 0.604 0.056 0.328
Ga 0.896 0.444 0.328
Ga 0.944 0.104 0.828
Rh 0.108 0.870 0.660
Rh 0.130 0.608 0.160
Rh 0.370 0.892 0.160
Rh 0.392 0.630 0.660
Rh 0.608 0.370 0.340
Rh 0.630 0.108 0.840
Rh 0.870 0.392 0.840
Rh 0.892 0.130 0.340

Calculated values
Total magnetic moment in μB per cell: 0.000
Energy of formation in eV per formula unit: -5.3
Calculated volume in Å³ per cell: 329.9